## i
Below is a relaxed SmMgAs crystal, with properties calculated at the GGA-PBE level.

Cell: 6.991 6.991 6.991 Å, 90.00 90.00 90.00°
Space group F-43m (No. 216)
Unique sites:
Sm1 0.000 0.000 0.000 x4
Mg1 0.250 0.250 0.250 x4
As1 0.250 0.250 0.750 x4

## Properties
- total moment (μB/f.u.) = 0.00



## ii
Below is a relaxed SmMgAs crystal, with properties calculated at the GGA-PBE level.

Cell: 6.726 6.726 6.726 Å, 90.00 90.00 90.00°
Space group F-43m (No. 216)
Unique sites:
Sm1 0.000 0.000 0.000 x4
Mg1 0.000 0.000 0.500 x4
As1 0.250 0.250 0.750 x4

## Properties
- total moment (μB/f.u.) = 0.02



Structures ranked by computed energy, the most stable listed first: ii, i.



## i
Below is a relaxed MgTaTeAs crystal, with properties calculated at the GGA-PBE level.

Cell: 6.897 6.897 6.897 Å, 90.00 90.00 90.00°
Space group F-43m (No. 216)
Unique sites:
Mg1 0.000 0.000 0.000 x4
Ta1 0.250 0.250 0.750 x4
Te1 0.250 0.250 0.250 x4
As1 0.000 0.000 0.500 x4

## Properties
- total moment (μB/f.u.) = 1.24



## ii
Below is a relaxed MgTaTeAs crystal, with properties calculated at the GGA-PBE level.

Cell: 6.839 6.839 6.839 Å, 90.00 90.00 90.00°
Space group F-43m (No. 216)
Unique sites:
Mg1 0.000 0.000 0.000 x4
Ta1 0.000 0.000 0.500 x4
Te1 0.250 0.250 0.250 x4
As1 0.250 0.250 0.750 x4

## Properties
- total moment (μB/f.u.) = 1.49



Structures ranked by computed energy, the most stable listed first: ii, i.



## i
Below is a relaxed TmMgAs crystal, with properties calculated at the GGA-PBE level.

Cell: 6.586 6.586 6.586 Å, 90.00 90.00 90.00°
Space group F-43m (No. 216)
Unique sites:
Tm1 0.000 0.000 0.000 x4
Mg1 0.000 0.000 0.500 x4
As1 0.250 0.250 0.750 x4

## Properties
- total moment (μB/f.u.) = 0.00



## ii
Below is a relaxed TmMgAs crystal, with properties calculated at the GGA-PBE level.

Cell: 6.839 6.839 6.839 Å, 90.00 90.00 90.00°
Space group F-43m (No. 216)
Unique sites:
Tm1 0.000 0.000 0.000 x4
Mg1 0.250 0.250 0.250 x4
As1 0.250 0.250 0.750 x4

## Properties
- total moment (μB/f.u.) = 0.00



Structures ranked by computed energy, the most stable listed first: i, ii.



## i
Below is a relaxed NaTeMoAs crystal, with properties calculated at the GGA-PBE level.

Cell: 6.874 6.874 6.874 Å, 90.00 90.00 90.00°
Space group F-43m (No. 216)
Unique sites:
Na1 0.000 0.000 0.000 x4
Te1 0.000 0.000 0.500 x4
Mo1 0.250 0.250 0.750 x4
As1 0.250 0.250 0.250 x4

## Properties
- total moment (μB/f.u.) = 1.82



## ii
Below is a relaxed NaTeMoAs crystal, with properties calculated at the GGA-PBE level.

Cell: 6.790 6.790 6.790 Å, 90.00 90.00 90.00°
Space group F-43m (No. 216)
Unique sites:
Na1 0.000 0.000 0.000 x4
Te1 0.250 0.250 0.250 x4
Mo1 0.000 0.000 0.500 x4
As1 0.250 0.250 0.750 x4

## Properties
- total moment (μB/f.u.) = 1.56



Structures ranked by computed energy, the most stable listed first: ii, i.